Computed, not measured: crystalline Cs2CdReF6 at its relaxed geometry at the PBE-GGA level of DFT.

Crystal system: cubic
Total moment in μB/f.u.: 3.1
Space group: Fm-3m, No. 225
ΔE_f (raw) in eV/f.u.: -21.4
N(E_F) in states/eV per cell: 0.0

a = 7.007 Å, b = 7.007 Å, c = 7.007 Å
α = 60.00°, β = 60.00°, γ = 60.00°
Sites, in units of the cell vectors:
Cs 0.250 0.250 0.250
Cs 0.750 0.750 0.750
Cd 0.000 0.000 0.000
Re 0.500 0.500 0.500
F 0.299 0.299 0.701
F 0.299 0.701 0.299
F 0.299 0.701 0.701
F 0.701 0.299 0.299
F 0.701 0.299 0.701
F 0.701 0.701 0.299